No. 1
Material: CeEr2Ge2
Method: DFT, PBE
State: optimized geometry

## Properties
Energy ... -5.406 eV/atom
Volume ... 265.6 Å³/cell

Cell lengths 5.6200, 4.3540, 10.9641 Å; angles 90.00, 98.18, 90.00 degrees
Closest atoms and distances in Å follow each position.
Fractional coordinates of all 10 atoms:
Ce1 0.0889 0.2500 0.2834  5 Ge 3.02-3.17
Ce2 0.9111 0.7500 0.7166  5 Ge 3.02-3.17
Er1 0.2441 0.2500 0.9524  4 Ge 2.90-2.97
Er2 0.3926 0.2500 0.6278  5 Ge 2.88-3.17
Er3 0.6074 0.7500 0.3722  5 Ge 2.88-3.17
Er4 0.7559 0.7500 0.0476  4 Ge 2.90-2.97
Ge1 0.1641 0.7500 0.4764  4 Er 2.88-3.17, 2 Ge 2.95, 3 Ce 3.02-3.17
Ge2 0.2725 0.7500 0.1282  5 Er 2.90-3.04, 2 Ce 3.03
Ge3 0.7275 0.2500 0.8718  5 Er 2.90-3.04, 2 Ce 3.03
Ge4 0.8359 0.2500 0.5236  4 Er 2.88-3.17, 2 Ge 2.95, 3 Ce 3.02-3.17

=====

No. 2
Material: Mg6CuRh2
Method: DFT, PBE
State: optimized geometry

## Properties
Energy ... -3.437 eV/atom
Volume ... 153.9 Å³/cell

Cell lengths 4.5594, 4.5594, 8.5478 Å; angles 90.00, 90.00, 120.00 degrees
Closest atoms and distances in Å follow each position.
Fractional coordinates of all 9 atoms:
Mg1 0.0000 0.0000 0.2020  1 Cu 2.55, 3 Rh 2.68
Mg2 0.0000 0.0000 0.7980  1 Cu 2.55, 3 Rh 2.68
Mg3 0.3333 0.6667 0.0638  1 Rh 2.78, 7 Mg 2.85-2.94
Mg4 0.3333 0.6667 0.4078  3 Cu 2.75, 4 Rh 2.83-2.92, 4 Mg 2.94-3.07
Mg5 0.6667 0.3333 0.5922  3 Cu 2.75, 4 Rh 2.83-2.92, 4 Mg 2.94-3.07
Mg6 0.6667 0.3333 0.9362  1 Rh 2.78, 7 Mg 2.85-2.94
Cu1 0.0000 0.0000 0.5000  8 Mg 2.55-2.75
Rh1 0.3333 0.6667 0.7388  8 Mg 2.68-2.92
Rh2 0.6667 0.3333 0.2612  8 Mg 2.68-2.92

=====

no.,calculated formation energy (eV/atom)
1,-0.547
2,-0.286